No. 1
This record from the Alexandria database describes an optimized crystal structure of Ba2In2Sn3. The functional is PBE.

a = 12.496 Å, b = 4.935 Å, c = 7.957 Å
α = 90.00°, β = 109.17°, γ = 90.00°
Fractional positions:
Ba1 0.139 0.000 0.282
Ba2 0.361 0.500 0.718
Ba3 0.639 0.500 0.282
Ba4 0.861 0.000 0.718
In1 0.161 0.000 0.755
In2 0.339 0.500 0.245
In3 0.661 0.500 0.755
In4 0.839 0.000 0.245
Sn1 0.000 0.500 0.500
Sn2 0.099 0.500 0.933
Sn3 0.401 0.000 0.067
Sn4 0.500 0.000 0.500
Sn5 0.599 0.000 0.933
Sn6 0.901 0.500 0.067

Summary:
Energy of formation (eV/atom): -0.467
DFT total energy (eV for the cell shown): -49.2

***

No. 2
This record from the Alexandria database describes an optimized crystal structure of AsP2Os. The functional is PBE.

a = 4.483 Å, b = 4.483 Å, c = 2.912 Å
α = 90.00°, β = 90.00°, γ = 90.00°
Fractional positions:
As1 0.000 0.000 0.000
P1 0.000 0.500 0.500
P2 0.500 0.000 0.500
Os1 0.500 0.500 0.000

Summary:
Energy of formation (eV/atom): 0.662
DFT total energy (eV for the cell shown): -24.0

***

No. 3
This record from the Alexandria database describes an optimized crystal structure of MgTlO2. The functional is PBE.

a = 3.204 Å, b = 3.204 Å, c = 18.850 Å
α = 90.00°, β = 90.00°, γ = 120.00°
Fractional positions:
Mg1 0.000 0.000 0.000
Mg2 0.333 0.667 0.667
Mg3 0.667 0.333 0.333
Tl1 0.000 0.000 0.500
Tl2 0.333 0.667 0.167
Tl3 0.667 0.333 0.833
O1 0.000 0.000 0.387
O2 0.000 0.000 0.613
O3 0.333 0.667 0.054
O4 0.333 0.667 0.279
O5 0.667 0.333 0.721
O6 0.667 0.333 0.946

Summary:
Energy relative to the elements, uncorrected (eV/atom): -1.324
DFT total energy (eV for the cell shown): -57.5

***

No. 4
This record from the Alexandria database describes an optimized crystal structure of Zr2Cd2Te. The functional is PBE.

a = 7.369 Å, b = 7.369 Å, c = 4.535 Å
α = 90.00°, β = 90.00°, γ = 90.00°
Fractional positions:
Zr1 0.152 0.348 0.000
Zr2 0.348 0.848 0.000
Zr3 0.652 0.152 0.000
Zr4 0.848 0.652 0.000
Cd1 0.145 0.645 0.500
Cd2 0.355 0.145 0.500
Cd3 0.645 0.855 0.500
Cd4 0.855 0.355 0.500
Te1 0.000 0.000 0.000
Te2 0.500 0.500 0.000

Summary:
Energy relative to the elements, uncorrected (eV/atom): -0.228
DFT total energy (eV for the cell shown): -46.4

***

No. 5
This record from the Alexandria database describes an optimized crystal structure of ErScSbAs. The functional is PBE.

a = 4.080 Å, b = 4.080 Å, c = 20.826 Å
α = 90.00°, β = 90.00°, γ = 120.00°
Fractional positions:
Er1 0.000 0.000 0.000
Er2 0.333 0.667 0.667
Er3 0.667 0.333 0.333
Sc1 0.000 0.000 0.182
Sc2 0.333 0.667 0.849
Sc3 0.667 0.333 0.516
Sb1 0.000 0.000 0.763
Sb2 0.333 0.667 0.430
Sb3 0.667 0.333 0.096
As1 0.000 0.000 0.585
As2 0.333 0.667 0.252
As3 0.667 0.333 0.919

Summary:
Energy relative to the elements, uncorrected (eV/atom): -1.124
DFT total energy (eV for the cell shown): -72.5